GaSbI2O | PBE | optimized geometry

Structure (CIF):
```
data_GaSbI2O
_chemical_formula_sum 'Ga1 Sb1 I2 O1'
_cell_length_a 5.453
_cell_length_b 5.453
_cell_length_c 5.493
_cell_angle_alpha 90.00
_cell_angle_beta 90.00
_cell_angle_gamma 90.00
_symmetry_space_group_name_H-M 'P 4/m m m'
_symmetry_Int_Tables_number 123
_symmetry_space_group_name_Hall '-P 4 2'
loop_
_atom_site_label
_atom_site_type_symbol
_atom_site_fract_x
_atom_site_fract_y
_atom_site_fract_z
_atom_site_occupancy
Ga1 Ga 0.000 0.000 0.000 1
Sb1 Sb 0.000 0.000 0.500 1
I1 I 0.000 0.500 0.000 1
O1 O 0.500 0.500 0.500 1
```

Calculated values
Energy above the most stable polymorph in this dataset: 1217 meV per atom
E_form (uncorrected): 0.837 eV/atom

---

LiCe3Sm4Te8 | PBE | optimized geometry

Structure (CIF):
```
data_LiCe3Sm4Te8
_chemical_formula_sum 'Li3 Ce9 Sm12 Te24'
_cell_length_a 8.8923
_cell_length_b 8.8923
_cell_length_c 21.8547
_cell_angle_alpha 90.00
_cell_angle_beta 90.00
_cell_angle_gamma 120.00
_symmetry_space_group_name_H-M 'R -3 m'
_symmetry_Int_Tables_number 166
_symmetry_space_group_name_Hall '-R 3 2"'
loop_
_atom_site_label
_atom_site_type_symbol
_atom_site_fract_x
_atom_site_fract_y
_atom_site_fract_z
_atom_site_occupancy
Li1 Li 0.0000 0.0000 0.0000 1
Ce1 Ce 0.0000 0.5000 0.0000 1
Sm1 Sm 0.0000 0.0000 0.5000 1
Sm2 Sm 0.0000 0.5000 0.5000 1
Te1 Te 0.0000 0.0000 0.2488 1
Te2 Te 0.0092 0.5046 0.7490 1
```

Calculated values
E_form (uncorrected): -1.364 eV/atom

---

K2ScVNi | PBE | optimized geometry

Structure (CIF):
```
data_K2ScVNi
_chemical_formula_sum 'K2 Sc1 V1 Ni1'
_cell_length_a 6.371
_cell_length_b 6.371
_cell_length_c 4.330
_cell_angle_alpha 90.00
_cell_angle_beta 90.00
_cell_angle_gamma 90.00
_symmetry_space_group_name_H-M 'P 4/m m m'
_symmetry_Int_Tables_number 123
_symmetry_space_group_name_Hall '-P 4 2'
loop_
_atom_site_label
_atom_site_type_symbol
_atom_site_fract_x
_atom_site_fract_y
_atom_site_fract_z
_atom_site_occupancy
K1 K 0.000 0.500 0.000 1
Sc1 Sc 0.000 0.000 0.500 1
V1 V 0.500 0.500 0.000 1
Ni1 Ni 0.500 0.500 0.500 1
```

Calculated values
ΔH_f (0 K): 1.3475 eV per atom

---

Mg2Zn2Si | PBE | optimized geometry

Structure (CIF):
```
data_Mg2Zn2Si
_chemical_formula_sum 'Mg4 Zn4 Si2'
_cell_length_a 7.623
_cell_length_b 7.623
_cell_length_c 3.264
_cell_angle_alpha 90.00
_cell_angle_beta 90.00
_cell_angle_gamma 90.00
_symmetry_space_group_name_H-M 'P 4/m b m'
_symmetry_Int_Tables_number 127
_symmetry_space_group_name_Hall '-P 4 2ab'
loop_
_atom_site_label
_atom_site_type_symbol
_atom_site_fract_x
_atom_site_fract_y
_atom_site_fract_z
_atom_site_occupancy
Mg1 Mg 0.176 0.324 0.000 1
Zn1 Zn 0.122 0.622 0.500 1
Si1 Si 0.000 0.000 0.000 1
```

Calculated values
Energy above the most stable polymorph in this dataset: 222 meV per atom
E_form (uncorrected): 0.226 eV/atom

---

LaTb3Y2 | PBE | optimized geometry

Structure (CIF):
```
data_LaTb3Y2
_chemical_formula_sum 'La2 Tb6 Y4'
_cell_length_a 7.228
_cell_length_b 7.236
_cell_length_c 8.935
_cell_angle_alpha 78.18
_cell_angle_beta 78.25
_cell_angle_gamma 60.26
_symmetry_space_group_name_H-M 'P -1'
_symmetry_Int_Tables_number 2
_symmetry_space_group_name_Hall '-P 1'
loop_
_atom_site_label
_atom_site_type_symbol
_atom_site_fract_x
_atom_site_fract_y
_atom_site_fract_z
_atom_site_occupancy
La1 La 0.249 0.251 0.002 1
Tb1 Tb 0.140 0.638 0.664 1
Tb2 Tb 0.250 0.750 0.000 1
Tb3 Tb 0.361 0.362 0.336 1
Y1 Y 0.139 0.139 0.664 1
Y2 Y 0.361 0.861 0.337 1
```

Calculated values
Energy above the most stable polymorph in this dataset: 0 meV per atom
ΔH_f (0 K): -0.0024 eV per atom

---

PrNd5Er4 | PBE | optimized geometry

Structure (CIF):
```
data_PrNd5Er4
_chemical_formula_sum 'Pr2 Nd10 Er8'
_cell_length_a 18.254
_cell_length_b 3.592
_cell_length_c 10.587
_cell_angle_alpha 90.00
_cell_angle_beta 96.40
_cell_angle_gamma 90.00
_symmetry_space_group_name_H-M 'C 1 2/m 1'
_symmetry_Int_Tables_number 12
_symmetry_space_group_name_Hall '-C 2y'
loop_
_atom_site_label
_atom_site_type_symbol
_atom_site_fract_x
_atom_site_fract_y
_atom_site_fract_z
_atom_site_occupancy
Pr1 Pr 0.000 0.000 0.000 1
Nd1 Nd 0.000 0.000 0.500 1
Nd2 Nd 0.142 0.500 0.231 1
Nd3 Nd 0.190 0.500 0.598 1
Er1 Er 0.047 0.500 0.761 1
Er2 Er 0.183 0.000 0.911 1
```

Calculated values
Energy above the most stable polymorph in this dataset: 135 meV per atom
ΔH_f (0 K): 0.1518 eV per atom

---

Zr5NiPd2 | PBE | optimized geometry

Structure (CIF):
```
data_Zr5NiPd2
_chemical_formula_sum 'Zr10 Ni2 Pd4'
_cell_length_a 6.530
_cell_length_b 10.751
_cell_length_c 4.522
_cell_angle_alpha 90.00
_cell_angle_beta 90.00
_cell_angle_gamma 90.00
_symmetry_space_group_name_H-M 'P b a m'
_symmetry_Int_Tables_number 55
_symmetry_space_group_name_Hall '-P 2 2ab'
loop_
_atom_site_label
_atom_site_type_symbol
_atom_site_fract_x
_atom_site_fract_y
_atom_site_fract_z
_atom_site_occupancy
Zr1 Zr 0.000 0.000 0.000 1
Zr2 Zr 0.151 0.287 0.000 1
Zr3 Zr 0.165 0.598 0.500 1
Ni1 Ni 0.000 0.500 0.000 1
Pd1 Pd 0.103 0.857 0.500 1
```

Calculated values
ΔH_f (0 K): -0.3327 eV per atom

---

Si3BrF | PBE | optimized geometry

Structure (CIF):
```
data_Si3BrF
_chemical_formula_sum 'Si3 Br1 F1'
_cell_length_a 4.666
_cell_length_b 4.666
_cell_length_c 4.666
_cell_angle_alpha 90.00
_cell_angle_beta 90.00
_cell_angle_gamma 90.00
_symmetry_space_group_name_H-M 'P m -3 m'
_symmetry_Int_Tables_number 221
_symmetry_space_group_name_Hall '-P 4 2 3'
loop_
_atom_site_label
_atom_site_type_symbol
_atom_site_fract_x
_atom_site_fract_y
_atom_site_fract_z
_atom_site_occupancy
Si1 Si 0.000 0.000 0.500 1
Br1 Br 0.500 0.500 0.500 1
F1 F 0.000 0.000 0.000 1
```

Calculated values
Energy above the most stable polymorph in this dataset: 0 meV per atom
E_form (uncorrected): 0.738 eV/atom